1.
Material: CuNi2P
Method: DFT, GGA-PBE
State: optimized geometry

Summary:
M_tot   0.0 μB/f.u.
SG   Pm (6)
Total DFT energy (no corrections)   -5.4033 eV/atom

```
CuNi2P
1.0
2.746 0.000 0.000
0.000 3.851 0.000
-1.349 0.000 4.376
Cu Ni P
1 2 1
Direct
0.000 0.000 0.000
0.270 0.000 0.534
0.650 0.500 0.290
0.386 0.500 0.758
```

=====

2.
Material: CuNi2P
Method: DFT, GGA-PBE
State: optimized geometry

Summary:
M_tot   0.0 μB/f.u.
SG   Imm2 (44)
Total DFT energy (no corrections)   -5.4299 eV/atom

```
CuNi2P
1.0
2.920 0.000 0.000
0.000 3.819 0.000
0.000 0.000 8.156
Cu Ni P
2 4 2
Direct
0.000 0.000 0.000
0.500 0.500 0.500
0.000 0.000 0.565
0.000 0.500 0.783
0.500 0.000 0.283
0.500 0.500 0.065
0.000 0.500 0.267
0.500 0.000 0.767
```

=====

3.
Material: CuNi2P
Method: DFT, GGA-PBE
State: optimized geometry

Summary:
M_tot   0.0 μB/f.u.
SG   C2/m (12)
Total DFT energy (no corrections)   -5.4432 eV/atom

```
CuNi2P
1.0
8.168 0.000 0.000
0.000 3.233 0.000
-1.878 0.000 3.443
Cu Ni P
2 4 2
Direct
0.000 0.000 0.000
0.500 0.500 0.000
0.214 0.000 0.714
0.286 0.500 0.286
0.714 0.500 0.714
0.786 0.000 0.286
0.000 0.500 0.500
0.500 0.000 0.500
```

=====

4.
Material: CuNiP
Method: DFT, GGA-PBE
State: optimized geometry

Summary:
M_tot   0.0 μB/f.u.
SG   P2_1/c (14)
Total DFT energy (no corrections)   -5.2822 eV/atom

```
CuNiP
1.0
6.043 0.000 0.000
0.000 4.503 0.000
-2.798 0.000 5.732
Cu Ni P
4 4 4
Direct
0.239 0.106 0.424
0.239 0.394 0.924
0.761 0.606 0.076
0.761 0.894 0.576
0.420 0.609 0.640
0.420 0.891 0.140
0.580 0.109 0.860
0.580 0.391 0.360
0.201 0.602 0.259
0.201 0.898 0.759
0.799 0.102 0.241
0.799 0.398 0.741
```

=====

5.
Material: CuNiP
Method: DFT, GGA-PBE
State: optimized geometry

Summary:
M_tot   0.0 μB/f.u.
SG   I4mm (107)
Total DFT energy (no corrections)   -5.1962 eV/atom

```
CuNiP
1.0
3.026 0.000 0.000
0.000 3.026 0.000
0.000 0.000 7.868
Cu Ni P
2 2 2
Direct
0.000 0.000 0.000
0.500 0.500 0.500
0.000 0.000 0.314
0.500 0.500 0.814
0.000 0.000 0.694
0.500 0.500 0.194
```

=====

6.
Material: Cu2NiP
Method: DFT, GGA-PBE
State: optimized geometry

Summary:
M_tot   0.0 μB/f.u.
SG   Pm (6)
Total DFT energy (no corrections)   -4.9251 eV/atom

```
Cu2NiP
1.0
2.669 0.000 0.000
0.000 3.573 0.000
-1.309 0.000 5.002
Cu Ni P
2 1 1
Direct
0.000 0.000 0.000
0.383 0.500 0.764
0.651 0.500 0.300
0.228 0.000 0.462
```

=====

7.
Material: Cu2NiP
Method: DFT, GGA-PBE
State: optimized geometry

Summary:
M_tot   0.0 μB/f.u.
SG   I-42d (122)
Total DFT energy (no corrections)   -4.7018 eV/atom

```
Cu2NiP
1.0
6.720 0.000 0.000
0.000 6.720 0.000
0.000 0.000 4.599
Cu Ni P
8 4 4
Direct
0.218 0.750 0.125
0.250 0.218 0.875
0.250 0.282 0.375
0.282 0.750 0.625
0.718 0.250 0.625
0.750 0.718 0.375
0.750 0.782 0.875
0.782 0.250 0.125
0.000 0.000 0.500
0.000 0.500 0.750
0.500 0.000 0.250
0.500 0.500 0.000
0.000 0.000 0.000
0.000 0.500 0.250
0.500 0.000 0.750
0.500 0.500 0.500
```

=====

8.
Material: CuNiP2
Method: DFT, GGA-PBE
State: optimized geometry

Summary:
M_tot   0.0 μB/f.u.
SG   R-3m (166)
Total DFT energy (no corrections)   -5.1748 eV/atom

```
CuNiP2
1.0
2.996 0.000 0.000
-1.498 2.594 0.000
0.000 0.000 20.224
Cu Ni P
3 3 6
Direct
0.000 0.000 0.000
0.333 0.667 0.667
0.667 0.333 0.333
0.000 0.000 0.500
0.333 0.667 0.167
0.667 0.333 0.833
0.000 0.000 0.245
0.000 0.000 0.755
0.333 0.667 0.422
0.333 0.667 0.911
0.667 0.333 0.089
0.667 0.333 0.578
```

=====

Number 1: energy relative to the elements -13.1 kJ/mol of atoms. Number 2: energy relative to the elements -15.7 kJ/mol of atoms. Number 3: energy relative to the elements -17.0 kJ/mol of atoms. Number 4: energy relative to the elements -18.0 kJ/mol of atoms. Number 5: energy relative to the elements -9.7 kJ/mol of atoms. Number 6: energy relative to the elements -7.6 kJ/mol of atoms. Number 7: energy relative to the elements 13.9 kJ/mol of atoms. Number 8: energy relative to the elements 0.0 kJ/mol of atoms.